# HfTi4Tc (PBE-GGA, relaxed)
data_HfTi4Tc
_chemical_formula_sum 'Hf1 Ti4 Tc1'
_symmetry_space_group_name_H-M 'P 1'
_symmetry_Int_Tables_number 1
_cell_length_a 5.406
_cell_length_b 5.406
_cell_length_c 5.602
_cell_angle_alpha 119.95
_cell_angle_beta 119.95
_cell_angle_gamma 49.60
loop_
_symmetry_equiv_pos_as_xyz
'x,y,z'
loop_
_atom_site_label
_atom_site_type_symbol
_atom_site_fract_x
_atom_site_fract_y
_atom_site_fract_z
_atom_site_occupancy
Hf1 Hf 0.000 0.000 0.000 1
Ti1 Ti 0.293 0.293 0.643 1
Ti2 Ti 0.351 0.351 0.195 1
Ti3 Ti 0.649 0.649 0.805 1
Ti4 Ti 0.707 0.707 0.357 1
Tc1 Tc 0.000 0.000 0.500 1
# Space-group type   No. 12
# ΔE_f   -1.2 eV/f.u.
# DOS(E_F)   5.90 states/eV per cell